1.
NbVRu2 | PBE | optimized geometry

Output
magnetic moment: 0.000 Bohr magnetons per cell
formation energy: 0.333 eV/atom

Unit cell a=6.8453 b=6.8453 c=5.4669 alpha=90.00 beta=90.00 gamma=90.00
Closest atoms and distances in Å follow each position.
Space group I-42d (No. 122)
Inequivalent atoms, fractional coordinates:
Nb 0.0000 0.0000 0.0000 (multiplicity 4)  4 Ru 2.67, 2 V 2.73
V 0.0000 0.0000 0.5000 (multiplicity 4)  4 Ru 2.37
Ru 0.2172 0.2500 0.6250 (multiplicity 8)  2 V 2.37

---

2.
Nb8V2Ru | PBE | optimized geometry

Output
magnetic moment: 0.002 Bohr magnetons per cell
formation energy: 0.504 eV/atom

Unit cell a=10.6760 b=8.8899 c=4.8216 alpha=90.00 beta=112.07 gamma=90.00
Closest atoms and distances in Å follow each position.
Space group C2/m (No. 12)
Inequivalent atoms, fractional coordinates:
Nb 0.0797 0.0000 0.3099 (multiplicity 4)  2 V 2.69-2.95, 5 Nb 2.82-2.93
Nb 0.0994 0.2457 0.8647 (multiplicity 8)  1 V 2.55, 1 Ru 2.68, 1 Nb 2.82
Nb 0.1364 0.5000 0.5387 (multiplicity 4)  1 Ru 2.45, 1 V 2.54
V 0.2280 0.0000 0.9014 (multiplicity 4)  4 Nb 2.54-2.69, 1 Ru 2.76
Ru 0.0000 0.5000 0.0000 (multiplicity 2)  6 Nb 2.45-2.68

---

3.
Nb2V4Ru | PBE | optimized geometry

Output
magnetic moment: 2.183 Bohr magnetons per cell
formation energy: 1.012 eV/atom

Unit cell a=4.4838 b=4.4838 c=12.7539 alpha=90.00 beta=90.00 gamma=90.00
Closest atoms and distances in Å follow each position.
Space group I4/mmm (No. 139)
Inequivalent atoms, fractional coordinates:
Nb 0.0000 0.0000 0.1243 (multiplicity 4)  1 V 2.39
V 0.0000 0.0000 0.3119 (multiplicity 4)  1 Nb 2.39, 1 Ru 2.40
V 0.0000 0.5000 0.0000 (multiplicity 4)  2 Ru 2.24
Ru 0.0000 0.0000 0.5000 (multiplicity 2)  6 V 2.24-2.40